Entry 1:
Entry from the Alexandria database: a geometry-optimized KSnN3 structure (PBE).

```
KSnN3
1.0
4.300 0.000 0.000
0.000 4.300 0.000
0.000 0.000 4.300
K Sn N
1 1 3
direct
0.000 0.000 0.000
0.500 0.500 0.500
0.000 0.500 0.500
0.500 0.000 0.500
0.500 0.500 0.000
```

Results
Symmetry: Pm-3m
Magnetic moment in μB/cell: 4.00
Crystal system: cubic
Total energy in eV/atom: -4.76

=====

Entry 2:
Entry from the Alexandria database: a geometry-optimized KTa2SnN structure (PBE).

```
KTa2SnN
1.0
5.256 0.000 0.000
0.000 5.256 0.000
0.000 0.000 6.652
K Ta Sn N
1 2 1 1
direct
0.000 0.000 0.000
0.000 0.500 0.500
0.500 0.000 0.500
0.000 0.000 0.500
0.500 0.500 0.000
```

Results
Symmetry: P4/mmm
Magnetic moment in μB/cell: 2.37
Crystal system: tetragonal
Total energy in eV/atom: -4.85

=====

Entry 3:
Entry from the Alexandria database: a geometry-optimized KSr2N2 structure (PBE).

```
KSr2N2
1.0
-2.436 2.436 5.595
2.436 -2.436 5.595
2.436 2.436 -5.595
K Sr N
1 2 2
direct
0.000 0.000 0.000
0.313 0.313 0.000
0.687 0.687 0.000
0.250 0.750 0.500
0.750 0.250 0.500
```

Results
Energy relative to the lowest polymorph listed for this composition in meV/atom: 0
Symmetry: I4/mmm
Magnetic moment in μB/cell: 0.14
Crystal system: tetragonal
Total energy in eV/atom: -4.16

=====

Entry 4:
Entry from the Alexandria database: a geometry-optimized KSr2N2 structure (PBE).

```
KSr2N2
1.0
7.696 0.000 0.000
0.000 7.696 0.000
0.000 0.000 3.188
K Sr N
2 4 4
direct
0.000 0.000 0.000
0.500 0.500 0.000
0.136 0.364 0.000
0.364 0.864 0.000
0.636 0.136 0.000
0.864 0.636 0.000
0.166 0.666 0.500
0.334 0.166 0.500
0.666 0.834 0.500
0.834 0.334 0.500
```

Results
Energy relative to the lowest polymorph listed for this composition in meV/atom: 90
Symmetry: P4/mbm
Magnetic moment in μB/cell: 0.00
Crystal system: tetragonal
Total energy in eV/atom: -4.07

=====

Entry 5:
Entry from the Alexandria database: a geometry-optimized K2SrN structure (PBE).

```
K2SrN
1.0
-5.813 5.813 2.424
5.813 -5.813 2.424
5.813 5.813 -2.424
K Sr N
4 2 2
direct
0.375 0.203 0.328
0.797 0.125 0.172
0.875 0.047 0.672
0.953 0.625 0.828
0.250 0.750 0.500
0.500 0.500 0.000
0.000 0.000 0.000
0.750 0.250 0.500
```

Results
Symmetry: I-42d
Magnetic moment in μB/cell: 0.00
Crystal system: tetragonal
Total energy in eV/atom: -2.80

=====

Entry 6:
Entry from the Alexandria database: a geometry-optimized K2Sr4N structure (PBE).

```
K2Sr4N
1.0
-2.710 2.710 11.857
2.710 -2.710 11.857
2.710 2.710 -11.857
K Sr N
2 4 1
direct
0.190 0.190 0.000
0.810 0.810 0.000
0.000 0.500 0.500
0.393 0.393 0.000
0.500 0.000 0.500
0.607 0.607 0.000
0.500 0.500 0.000
```

Results
Symmetry: I4/mmm
Magnetic moment in μB/cell: 0.00
Crystal system: tetragonal
Total energy in eV/atom: -2.57

=====

Entry 7:
Entry from the Alexandria database: a geometry-optimized KSr3N structure (PBE).

```
KSr3N
1.0
3.461 1.998 10.798
-3.461 1.998 10.798
0.000 -3.997 10.798
K Sr N
2 6 2
direct
0.160 0.160 0.160
0.840 0.840 0.840
0.045 0.412 0.680
0.320 0.955 0.588
0.412 0.680 0.045
0.588 0.320 0.955
0.680 0.045 0.412
0.955 0.588 0.320
0.335 0.335 0.335
0.665 0.665 0.665
```

Results
Symmetry: R-3
Magnetic moment in μB/cell: 0.00
Crystal system: trigonal
Total energy in eV/atom: -3.12

=====

Entry 8:
Entry from the Alexandria database: a geometry-optimized KSrTcN2 structure (PBE).

```
KSrTcN2
1.0
4.793 0.000 0.000
0.000 4.793 0.000
0.000 0.000 5.218
K Sr Tc N
1 1 1 2
direct
0.000 0.000 0.000
0.000 0.000 0.500
0.500 0.500 0.500
0.000 0.500 0.000
0.500 0.000 0.000
```

Results
Symmetry: P4/mmm
Magnetic moment in μB/cell: 3.88
Crystal system: tetragonal
Total energy in eV/atom: -3.32

=====

Entry 9:
Entry from the Alexandria database: a geometry-optimized K2SrTc2N4 structure (PBE).

```
K2SrTc2N4
1.0
6.458 -1.790 0.000
6.458 1.790 0.000
-6.208 0.000 7.282
K Sr Tc N
2 1 2 4
direct
0.147 0.147 0.244
0.853 0.853 0.756
0.000 0.000 0.500
0.342 0.342 0.126
0.658 0.658 0.874
0.224 0.224 0.845
0.478 0.478 0.681
0.522 0.522 0.319
0.776 0.776 0.155
```

Results
Symmetry: C2/m
Magnetic moment in μB/cell: 0.00
Crystal system: monoclinic
Total energy in eV/atom: -6.70

=====

Entry 10:
Entry from the Alexandria database: a geometry-optimized KSrTcN3 structure (PBE).

```
KSrTcN3
1.0
6.997 -1.940 0.000
6.997 1.940 0.000
-2.201 0.000 8.081
K Sr Tc N
2 2 2 6
direct
0.130 0.130 0.064
0.870 0.870 0.936
0.168 0.168 0.615
0.832 0.832 0.385
0.488 0.488 0.666
0.512 0.512 0.334
0.015 0.015 0.357
0.356 0.356 0.678
0.387 0.387 0.194
0.613 0.613 0.806
0.644 0.644 0.322
0.985 0.985 0.643
```

Results
Symmetry: C2/m
Magnetic moment in μB/cell: 0.00
Crystal system: monoclinic
Total energy in eV/atom: -6.49

=====

Entry 11:
Entry from the Alexandria database: a geometry-optimized KSr2TcN4 structure (PBE).

```
KSr2TcN4
1.0
8.696 0.000 0.000
0.000 6.323 0.000
0.000 0.000 5.783
K Sr Tc N
2 4 2 8
direct
0.000 0.199 0.000
0.500 0.801 0.500
0.248 0.294 0.515
0.252 0.706 0.015
0.748 0.706 0.015
0.752 0.294 0.515
0.000 0.807 0.546
0.500 0.193 0.046
0.000 0.089 0.470
0.000 0.796 0.860
0.179 0.679 0.447
0.321 0.321 0.947
0.500 0.204 0.360
0.500 0.911 0.970
0.679 0.321 0.947
0.821 0.679 0.447
```

Results
Symmetry: Pmn2_1
Magnetic moment in μB/cell: 0.00
Crystal system: orthorhombic
Total energy in eV/atom: -6.58

=====

Entry 12:
Entry from the Alexandria database: a geometry-optimized KSrTeN2 structure (PBE).

```
KSrTeN2
1.0
4.989 0.000 0.000
0.000 4.989 0.000
0.000 0.000 6.604
K Sr Te N
1 1 1 2
direct
0.000 0.000 0.000
0.500 0.500 0.500
0.000 0.000 0.500
0.000 0.500 0.000
0.500 0.000 0.000
```

Results
Energy relative to the lowest polymorph listed for this composition in meV/atom: 324
Symmetry: P4/mmm
Magnetic moment in μB/cell: 5.00
Crystal system: tetragonal
Total energy in eV/atom: -3.39

=====

Entry 13:
Entry from the Alexandria database: a geometry-optimized KSrTeN2 structure (PBE).

```
KSrTeN2
1.0
5.139 0.000 0.000
0.000 5.139 0.000
0.000 0.000 6.562
K Sr Te N
1 1 1 2
direct
0.000 0.000 0.000
0.500 0.500 0.500
0.500 0.500 0.000
0.000 0.500 0.500
0.500 0.000 0.500
```

Results
Energy relative to the lowest polymorph listed for this composition in meV/atom: 0
Symmetry: P4/mmm
Magnetic moment in μB/cell: 5.04
Crystal system: tetragonal
Total energy in eV/atom: -3.72

=====

Entry 14:
Entry from the Alexandria database: a geometry-optimized KTa3N structure (PBE).

```
KTa3N
1.0
4.572 0.000 0.000
0.000 4.572 0.000
0.000 0.000 4.572
K Ta N
1 3 1
direct
0.000 0.000 0.000
0.000 0.000 0.500
0.000 0.500 0.000
0.500 0.000 0.000
0.500 0.500 0.500
```

Results
Energy relative to the lowest polymorph listed for this composition in meV/atom: 3287
Symmetry: Pm-3m
Magnetic moment in μB/cell: 0.00
Crystal system: cubic
Total energy in eV/atom: -4.99

=====

Entry 15:
Entry from the Alexandria database: a geometry-optimized KTaN3 structure (PBE).

```
KTaN3
1.0
4.155 0.000 0.000
0.000 4.155 0.000
0.000 0.000 4.155
K Ta N
1 1 3
direct
0.000 0.000 0.000
0.500 0.500 0.500
0.000 0.500 0.500
0.500 0.000 0.500
0.500 0.500 0.000
```

Results
Symmetry: Pm-3m
Magnetic moment in μB/cell: 3.00
Crystal system: cubic
Total energy in eV/atom: -7.50

=====

Entry 16:
Entry from the Alexandria database: a geometry-optimized KTaN3 structure (PBE).

```
KTaN3
1.0
3.925 0.000 0.000
0.000 3.925 0.000
0.000 0.000 3.925
K Ta N
1 1 3
direct
0.000 0.000 0.000
0.500 0.500 0.500
0.000 0.000 0.500
0.000 0.500 0.000
0.500 0.000 0.000
```

Results
Symmetry: Pm-3m
Magnetic moment in μB/cell: 0.00
Crystal system: cubic
Total energy in eV/atom: -4.54

=====

Entry 17:
Entry from the Alexandria database: a geometry-optimized KTa3N structure (PBE).

```
KTa3N
1.0
4.430 0.000 0.000
0.000 4.430 0.000
0.000 0.000 4.430
K Ta N
1 3 1
direct
0.000 0.000 0.000
0.000 0.500 0.500
0.500 0.000 0.500
0.500 0.500 0.000
0.500 0.500 0.500
```

Results
Energy relative to the lowest polymorph listed for this composition in meV/atom: 0
Symmetry: Pm-3m
Magnetic moment in μB/cell: 0.00
Crystal system: cubic
Total energy in eV/atom: -8.28

=====

Entry 18:
Entry from the Alexandria database: a geometry-optimized KTaV2N structure (PBE).

```
KTaV2N
1.0
4.604 0.000 0.000
0.000 4.604 0.000
0.000 0.000 4.160
K Ta V N
1 1 2 1
direct
0.000 0.000 0.000
0.500 0.500 0.500
0.000 0.500 0.000
0.500 0.000 0.000
0.000 0.000 0.500
```

Results
Symmetry: P4/mmm
Magnetic moment in μB/cell: 3.03
Crystal system: tetragonal
Total energy in eV/atom: -5.07

=====

Entry 19:
Entry from the Alexandria database: a geometry-optimized KTaWN4 structure (PBE).

```
KTaWN4
1.0
5.765 0.000 0.000
0.000 5.931 0.000
-1.527 0.000 6.961
K Ta W N
2 2 2 8
direct
0.139 0.250 0.091
0.861 0.750 0.909
0.132 0.750 0.457
0.868 0.250 0.543
0.406 0.250 0.642
0.594 0.750 0.358
0.165 0.023 0.645
0.165 0.477 0.645
0.269 0.750 0.222
0.479 0.250 0.411
0.521 0.750 0.589
0.731 0.250 0.778
0.835 0.523 0.355
0.835 0.977 0.355
```

Results
Symmetry: P2_1/m
Magnetic moment in μB/cell: 0.00
Crystal system: monoclinic
Total energy in eV/atom: -8.99

=====

Entry 20:
Entry from the Alexandria database: a geometry-optimized KYTa2N structure (PBE).

```
KYTa2N
1.0
4.284 0.000 0.000
0.000 4.284 0.000
0.000 0.000 5.358
K Y Ta N
1 1 2 1
direct
0.000 0.000 0.000
0.500 0.500 0.000
0.000 0.500 0.500
0.500 0.000 0.500
0.500 0.500 0.500
```

Results
Symmetry: P4/mmm
Magnetic moment in μB/cell: 0.00
Crystal system: tetragonal
Total energy in eV/atom: -7.63

=====

Entry 21:
Entry from the Alexandria database: a geometry-optimized KTb2N structure (PBE).

```
KTb2N
1.0
1.777 1.026 10.334
-1.777 1.026 10.334
0.000 -2.052 10.334
K Tb N
1 2 1
direct
0.000 0.000 0.000
0.124 0.124 0.124
0.876 0.876 0.876
0.500 0.500 0.500
```

Results
Symmetry: R-3m
Magnetic moment in μB/cell: 0.01
Crystal system: trigonal
Total energy in eV/atom: -5.23

=====

Entry 22:
Entry from the Alexandria database: a geometry-optimized KTb2Tc2N6 structure (PBE).

```
KTb2Tc2N6
1.0
6.247 0.000 0.000
-2.841 5.879 0.000
-2.970 -2.079 5.680
K Tb Tc N
1 2 2 6
direct
0.000 0.000 0.000
0.352 0.668 0.288
0.648 0.332 0.712
0.231 0.669 0.685
0.769 0.331 0.315
0.145 0.666 0.913
0.299 0.920 0.583
0.460 0.569 0.697
0.540 0.431 0.303
0.701 0.080 0.417
0.855 0.334 0.087
```

Results
Symmetry: P-1
Magnetic moment in μB/cell: 0.00
Crystal system: triclinic
Total energy in eV/atom: -7.87

=====

Entry 23:
Entry from the Alexandria database: a geometry-optimized KTb2W2N6 structure (PBE).

```
KTb2W2N6
1.0
6.445 0.000 0.000
2.818 5.801 0.000
3.108 2.068 5.687
K Tb W N
1 2 2 6
direct
0.000 0.000 0.000
0.331 0.068 0.291
0.669 0.932 0.709
0.318 0.547 0.691
0.682 0.453 0.309
0.078 0.737 0.550
0.328 0.231 0.911
0.426 0.767 0.695
0.574 0.233 0.305
0.672 0.769 0.089
0.922 0.263 0.450
```

Results
Symmetry: P-1
Magnetic moment in μB/cell: 0.79
Crystal system: triclinic
Total energy in eV/atom: -8.46

=====

Entry 24:
Entry from the Alexandria database: a geometry-optimized K3TcN2 structure (PBE).

```
K3TcN2
1.0
5.132 -3.970 0.000
5.132 3.970 0.000
0.000 0.000 6.623
K Tc N
6 2 4
direct
0.218 0.218 0.000
0.218 0.218 0.500
0.221 0.779 0.750
0.779 0.221 0.250
0.782 0.782 0.000
0.782 0.782 0.500
0.374 0.626 0.250
0.626 0.374 0.750
0.147 0.853 0.250
0.500 0.500 0.000
0.500 0.500 0.500
0.853 0.147 0.750
```

Results
Symmetry: Cmcm
Magnetic moment in μB/cell: 0.00
Crystal system: orthorhombic
Total energy in eV/atom: -5.07

=====

Entry 25:
Entry from the Alexandria database: a geometry-optimized KTcN3 structure (PBE).

```
KTcN3
1.0
3.980 0.000 0.000
0.000 3.980 0.000
0.000 0.000 3.980
K Tc N
1 1 3
direct
0.000 0.000 0.000
0.500 0.500 0.500
0.000 0.000 0.500
0.000 0.500 0.000
0.500 0.000 0.000
```

Results
Symmetry: Pm-3m
Magnetic moment in μB/cell: 0.00
Crystal system: cubic
Total energy in eV/atom: -3.54